First-principles (PBE) data for a geometry-optimized LiZnW2 structure, as listed in Alexandria via LeMat-Bulk. Values from VASP.

Computed properties:
final energy = -27.4 eV per formula unit

```
&SYSTEM
  ibrav = 0, nat = 4, ntyp = 3
/
ATOMIC_SPECIES
W 183.84 W.upf
Li 6.94 Li.upf
Zn 65.41 Zn.upf
CELL_PARAMETERS angstrom
-2.3522 -1.1284 -0.3739
1.2019 -1.5128 1.7924
-3.5600 5.1810 6.7600
ATOMIC_POSITIONS crystal
W 0.0000 0.0000 0.0088
W 0.0000 0.0000 0.4912
Li 0.5000 0.5000 0.7500
Zn 0.5000 0.5000 0.2500
```

First-principles (PBE) data for a geometry-optimized LiZn2W structure, as listed in Alexandria via LeMat-Bulk. Values from VASP.

Computed properties:
energy relative to the lowest polymorph listed for this composition = 0.580 eV per atom
final energy = -14.8 eV per formula unit

```
&SYSTEM
  ibrav = 0, nat = 8, ntyp = 3
/
ATOMIC_SPECIES
W 183.84 W.upf
Zn 65.41 Zn.upf
Li 6.94 Li.upf
CELL_PARAMETERS angstrom
-0.3731 -2.3554 -6.2234
-6.0431 -2.4894 1.3044
-4.3277 -0.1248 -3.2619
ATOMIC_POSITIONS crystal
W 0.0000 0.0000 0.0000
W 0.7500 0.2500 0.5000
Zn 0.5964 0.1250 0.2500
Zn 0.8750 0.8464 0.7500
Zn 0.1536 0.6250 0.2500
Zn 0.3750 0.4036 0.7500
Li 0.2500 0.7500 0.5000
Li 0.5000 0.5000 0.0000
```

ΔE_f (kJ/mol of formula units)
166, 253